Pr2NdMg2In2 | PBE | relaxed

Unit cell a=5.0637 b=5.0637 c=9.5685 alpha=74.66 beta=74.66 gamma=60.00
With the nearest neighbours (Å) after each atom.
Fractional positions:
In  0.2647  0.2647  0.2058  3 Mg 2.92
In  0.7353  0.7353  0.7942  3 Mg 2.92
Mg  0.3991  0.3991  0.8026  3 In 2.92
Mg  0.6009  0.6009  0.1974  3 In 2.92
Pr  0.8704  0.8704  0.3887  4 In 3.37-3.70, 3 Mg 3.40, 1 Nd 3.54, 3 Pr 3.56
Pr  0.1296  0.1296  0.6113  4 In 3.37-3.70, 3 Mg 3.40, 1 Nd 3.54, 3 Pr 3.56
Nd  0.0000  0.0000  0.0000  6 Mg 3.43, 6 In 3.47, 2 Pr 3.54

Values from the calculation:
Its calculated density is 5.78 g/cm³. The calculation puts the calculated total energy at -24.9 eV per cell.